[1]
{"formula": "HfICl2", "functional": "PBE-GGA", "state": "relaxed", "formation_energy_uncorrected_mev_per_atom": -115, "m_tot_mub_per_cell": 0.66, "de_polymorph_mev_per_atom": 867, "sg": "Fm-3m (225)", "lattice_angstrom": [[0.000, 3.534, 3.534], [3.534, 0.000, 3.534], [3.534, 3.534, 0.000]], "species": ["I", "Hf", "Cl", "Cl"], "frac_coords": [[0.000, 0.000, 0.000], [0.500, 0.500, 0.500], [0.250, 0.250, 0.250], [0.750, 0.750, 0.750]]}

[2]
{"formula": "Li2TaOs", "functional": "PBE-GGA", "state": "relaxed", "ef_ev_per_atom": 0.366, "m_tot_mub_per_cell": 0.00, "de_polymorph_mev_per_atom": 236, "sg": "I-42d (122)", "lattice_angstrom": [[-0.170, -0.675, 3.555], [-3.460, -1.013, -0.357], [1.148, -10.375, -0.070]], "species": ["Li", "Li", "Li", "Li", "Ta", "Ta", "Os", "Os"], "frac_coords": [[0.875, 0.899, 0.750], [0.101, 0.625, 0.250], [0.375, 0.351, 0.750], [0.649, 0.125, 0.250], [0.250, 0.750, 0.500], [0.500, 0.500, 0.000], [0.750, 0.250, 0.500], [0.000, 0.000, 0.000]]}

[3]
{"formula": "YTiCu", "functional": "PBE-GGA", "state": "relaxed", "ef_ev_per_atom": 0.022, "m_tot_mub_per_cell": 0.00, "de_polymorph_mev_per_atom": 56, "sg": "C2/m (12)", "lattice_angstrom": [[-2.871, -2.328, 2.273], [2.260, -2.805, -4.164], [4.747, -4.907, 0.966]], "species": ["Cu", "Cu", "Ti", "Ti", "Y", "Y"], "frac_coords": [[0.538, 0.244, 0.929], [0.824, 0.816, 0.568], [0.853, 0.873, 0.187], [0.510, 0.188, 0.309], [0.254, 0.675, 0.930], [0.109, 0.385, 0.566]]}

[4]
{"formula": "Ca2HgCl", "functional": "PBE-GGA", "state": "relaxed", "formation_energy_uncorrected_mev_per_atom": -926, "m_tot_mub_per_cell": 0.00, "de_polymorph_mev_per_atom": 154, "sg": "I-42d (122)", "lattice_angstrom": [[-3.699, -2.254, -6.419], [-5.811, -2.754, 4.316], [-6.648, 1.175, -1.253]], "species": ["Ca", "Ca", "Ca", "Ca", "Hg", "Hg", "Cl", "Cl"], "frac_coords": [[0.601, 0.125, 0.250], [0.875, 0.851, 0.750], [0.149, 0.625, 0.250], [0.375, 0.399, 0.750], [0.000, 0.000, 0.000], [0.750, 0.250, 0.500], [0.500, 0.500, 0.000], [0.250, 0.750, 0.500]]}

[5]
{"formula": "Na2In2Se", "functional": "PBE-GGA", "state": "relaxed", "formation_energy_uncorrected_mev_per_atom": -208, "m_tot_mub_per_cell": 0.00, "de_polymorph_mev_per_atom": 0, "sg": "P4/mbm (127)", "lattice_angstrom": [[7.641, 0.000, 0.000], [0.000, 7.641, 0.000], [0.000, 0.000, 5.033]], "species": ["In", "In", "In", "In", "Na", "Na", "Na", "Na", "Se", "Se"], "frac_coords": [[0.638, 0.138, 0.000], [0.138, 0.362, 0.000], [0.362, 0.862, 0.000], [0.862, 0.638, 0.000], [0.832, 0.332, 0.500], [0.668, 0.832, 0.500], [0.168, 0.668, 0.500], [0.332, 0.168, 0.500], [0.000, 0.000, 0.000], [0.500, 0.500, 0.000]]}

[6]
{"formula": "Al2CuAgW", "functional": "PBE-GGA", "state": "relaxed", "ef_ev_per_atom": 1.094, "m_tot_mub_per_cell": 0.00, "sg": "P4/mmm (123)", "lattice_angstrom": [[4.912, 0.000, 0.000], [0.000, 4.682, 0.000], [0.000, 0.000, 4.912]], "species": ["Ag", "W", "Al", "Al", "Cu"], "frac_coords": [[0.500, 0.500, 0.500], [0.000, 0.000, 0.000], [0.000, 0.000, 0.500], [0.500, 0.000, 0.000], [0.000, 0.500, 0.000]]}